Entry one
Here is an optimized crystal structure of Zn3NiS from the Alexandria database. Energies are from PBE.

The space group is Pm-3m (No. 221) and the conventional cell measures 4.618, 4.618 and 4.618 Å, with angles of 90.00, 90.00 and 90.00 degrees. Symmetry generates all atoms from Zn at (0.000, 0.000, 0.500), Ni at (0.500, 0.500, 0.500) and S at (0.000, 0.000, 0.000).

The calculation puts the theoretical density at 4.8 g cm⁻³.



Entry two
Here is an optimized crystal structure of Zn3NiS from the Alexandria database. Energies are from PBE.

The space group is Pm-3m (No. 221) and the conventional cell measures 4.557, 4.557 and 4.557 Å, with angles of 90.00, 90.00 and 90.00 degrees. Symmetry generates all atoms from Zn at (0.000, 0.000, 0.500), Ni at (0.000, 0.000, 0.000) and S at (0.500, 0.500, 0.500).

The calculation puts the theoretical density at 5.0 g cm⁻³.



entry two (389 meV per atom below the next structure)



Entry one
Here is an optimized crystal structure of ZrNiS from the Alexandria database. Energies are from PBE.

The space group is Cm (No. 8) and the conventional cell measures 9.966, 3.595 and 5.388 Å, with angles of 90.00, 108.38 and 90.00 degrees. Symmetry generates all atoms from Zr at (0.000, 0.000, 0.000), Zr at (0.138, 0.500, 0.591), Ni at (0.222, 0.500, 0.158), Ni at (0.348, 0.000, 0.566), S at (0.283, 0.000, 0.926) and S at (0.440, 0.500, 0.449).

The calculation puts the theoretical density at 6.6 g cm⁻³.



Entry two
Here is an optimized crystal structure of ZrNiS from the Alexandria database. Energies are from PBE.

The space group is P-6m2 (No. 187) and the conventional cell measures 3.7146, 3.7146 and 3.6812 Å, with angles of 90.00, 90.00 and 120.00 degrees. Symmetry generates all atoms from Zr at (0.0000, 0.0000, 0.0000), Ni at (0.6667, 0.3333, 0.5000) and S at (0.3333, 0.6667, 0.5000).

The calculation puts the theoretical density at 6.9 g cm⁻³.



Entry three
Here is an optimized crystal structure of ZrNiS from the Alexandria database. Energies are from PBE.

The space group is Cm (No. 8) and the conventional cell measures 9.401, 3.610 and 5.530 Å, with angles of 90.00, 101.81 and 90.00 degrees. Symmetry generates all atoms from Zr at (0.000, 0.000, 0.000), Zr at (0.163, 0.500, 0.526), Ni at (0.200, 0.500, 0.042), Ni at (0.347, 0.000, 0.290), S at (0.286, 0.000, 0.868) and S at (0.450, 0.500, 0.496).

The calculation puts the theoretical density at 6.6 g cm⁻³.



Entry four
Here is an optimized crystal structure of ZrNiS from the Alexandria database. Energies are from PBE.

The space group is I4_1md (No. 109) and the conventional cell measures 3.710, 3.710 and 12.820 Å, with angles of 90.00, 90.00 and 90.00 degrees. Symmetry generates all atoms from Zr at (0.000, 0.000, 0.000), Ni at (0.000, 0.000, 0.581) and S at (0.000, 0.000, 0.415).

The calculation puts the theoretical density at 6.8 g cm⁻³.



entry two (19 meV per atom below the next structure)